# 1
{"formula": "Sm12Zn6Ru", "functional": "PBE", "state": "optimized geometry", "crystal_system": "trigonal", "formation_energy_mev_per_atom": -103, "m_tot_mub_per_cell": 0.00, "space_group": "R-3 (148)", "cell": [[-6.1113, 1.3270, 5.2334], [1.6630, -7.3834, 3.0358], [5.5116, 3.7305, 4.7119]], "species": ["Sm", "Sm", "Sm", "Sm", "Sm", "Sm", "Sm", "Sm", "Sm", "Sm", "Sm", "Sm", "Zn", "Zn", "Zn", "Zn", "Zn", "Zn", "Ru"], "fractional_positions": [[0.8032, 0.5702, 0.4546], [0.4546, 0.8032, 0.5702], [0.5702, 0.4546, 0.8032], [0.1968, 0.4298, 0.5454], [0.5454, 0.1968, 0.4298], [0.4298, 0.5454, 0.1968], [0.9680, 0.0886, 0.3214], [0.9114, 0.6786, 0.0320], [0.6786, 0.0320, 0.9114], [0.0320, 0.9114, 0.6786], [0.0886, 0.3214, 0.9680], [0.3214, 0.9680, 0.0886], [0.6574, 0.8555, 0.2617], [0.7383, 0.3426, 0.1445], [0.1445, 0.7383, 0.3426], [0.3426, 0.1445, 0.7383], [0.2617, 0.6574, 0.8555], [0.8555, 0.2617, 0.6574], [0.0000, 0.0000, 0.0000]]}

---

# 2
{"formula": "LaCuSi2", "functional": "PBE", "state": "optimized geometry", "formation_energy_uncorrected_ev_per_atom": 0.0139, "crystal_system": "cubic", "m_tot_mub_per_cell": 0.00, "space_group": "F-43m (216)", "cell": [[-1.0527, -0.4152, 4.6257], [-2.9415, -3.4433, 1.4728], [1.7009, -3.6730, 2.5087]], "species": ["Cu", "La", "Si", "Si"], "fractional_positions": [[0.5000, 0.5000, 0.5000], [0.7500, 0.7500, 0.7500], [0.0000, 0.0000, 0.0000], [0.2500, 0.2500, 0.2500]]}

---

# 3
{"formula": "Ce2Ga4CoNi3", "functional": "PBE", "state": "optimized geometry", "crystal_system": "tetragonal", "formation_energy_mev_per_atom": -509, "m_tot_mub_per_cell": 0.58, "space_group": "P-4m2 (115)", "cell": [[4.0762, 0.0000, 0.0000], [0.0000, 4.0762, 0.0000], [0.0000, 0.0000, 10.0670]], "species": ["Ce", "Ce", "Ga", "Ga", "Ga", "Ga", "Co", "Ni", "Ni", "Ni"], "fractional_positions": [[0.5000, 0.0000, 0.2506], [0.0000, 0.5000, 0.7494], [0.5000, 0.5000, 0.0000], [0.0000, 0.0000, 0.0000], [0.5000, 0.0000, 0.6256], [0.0000, 0.5000, 0.3744], [0.5000, 0.5000, 0.5000], [0.0000, 0.0000, 0.5000], [0.5000, 0.0000, 0.8637], [0.0000, 0.5000, 0.1363]]}

---

# 4
{"formula": "Mg2InCl", "functional": "PBE", "state": "optimized geometry", "formation_energy_uncorrected_ev_per_atom": -0.1159, "crystal_system": "cubic", "e_above_lowest_polymorph_mev_per_atom": 442, "m_tot_mub_per_cell": 0.00, "space_group": "F-43m (216)", "cell": [[5.3130, 0.0000, 0.0000], [2.6565, 4.6012, 0.0000], [2.6565, 1.5337, 4.3380]], "species": ["Cl", "In", "Mg", "Mg"], "fractional_positions": [[0.5000, 0.5000, 0.5000], [0.2500, 0.2500, 0.2500], [0.0000, 0.0000, 0.0000], [0.7500, 0.7500, 0.7500]]}

---

In states/eV per atom, the Fermi-level density of states values for the records above are, in order, 1.30, 0.48, 1.18, 0.17.
In Å³ per cell, the volume values for the records above are, in order, 539.1, 76.4, 167.3, 106.0.